Material: Na2Mg3Mo4O16
Method: DFT, GGA+U
State: relaxed

Values from the calculation:
Total DFT energy (no corrections), eV per atom: -6.60
Space-group type: P1 (1)

Cell lengths 9.9098, 10.4385, 12.4597 Å; angles 86.75, 77.44, 63.87 degrees
Atoms (fractional coordinates):
1 Na 0.0000 0.0000 0.0000
2 Na 0.0358 0.7042 0.7528
3 Na 0.4586 0.0331 0.5166
4 Na 0.5407 0.6926 0.2466
5 Na 0.7568 0.9303 0.2990
6 Na 0.9638 0.2949 0.2397
7 Mg 0.0925 0.1005 0.4598
8 Mg 0.1280 0.5172 0.1683
9 Mg 0.3731 0.4804 0.3274
10 Mg 0.4159 0.8976 0.0337
11 Mg 0.4711 0.3062 0.7508
12 Mg 0.5835 0.0993 0.9533
13 Mg 0.6276 0.5194 0.6672
14 Mg 0.8665 0.4853 0.8260
15 Mg 0.9216 0.8930 0.5378
16 Mo 0.1435 0.8316 0.2597
17 Mo 0.1863 0.3686 0.5873
18 Mo 0.1906 0.2410 0.9649
19 Mo 0.3116 0.7577 0.5216
20 Mo 0.3230 0.6293 0.9165
21 Mo 0.3600 0.1648 0.2360
22 Mo 0.6397 0.8344 0.7553
23 Mo 0.6776 0.3613 0.0757
24 Mo 0.6961 0.2369 0.4761
25 Mo 0.8096 0.7611 0.0225
26 Mo 0.8302 0.6281 0.4134
27 Mo 0.8481 0.1699 0.7349
28 O 0.0329 0.4931 0.6894
29 O 0.0526 0.3261 0.8836
30 O 0.0725 0.9219 0.3965
31 O 0.1270 0.3426 0.0938
32 O 0.1272 0.7684 0.5894
33 O 0.1419 0.2334 0.5435
34 O 0.1445 0.7453 0.8835
35 O 0.1856 0.6436 0.2594
36 O 0.1920 0.1452 0.3052
37 O 0.2145 0.0613 0.9896
38 O 0.2309 0.4594 0.4702
39 O 0.2790 0.5370 0.0329
40 O 0.2939 0.9357 0.4979
41 O 0.3065 0.8549 0.1847
42 O 0.3177 0.3521 0.2370
43 O 0.3581 0.2793 0.6440
44 O 0.3728 0.2392 0.8916
45 O 0.3749 0.6581 0.3913
46 O 0.4014 0.7410 0.9534
47 O 0.4301 0.0801 0.0970
48 O 0.4451 0.6662 0.6062
49 O 0.4492 0.4994 0.7996
50 O 0.5011 0.0778 0.3146
51 O 0.5027 0.9205 0.6763
52 O 0.5476 0.4768 0.1936
53 O 0.5622 0.3301 0.3934
54 O 0.5651 0.9249 0.8928
55 O 0.6015 0.2515 0.0314
56 O 0.6238 0.7737 0.0881
57 O 0.6271 0.3289 0.6132
58 O 0.6659 0.7429 0.3601
59 O 0.6689 0.1582 0.7978
60 O 0.6795 0.6463 0.7579
61 O 0.7172 0.0552 0.4830
62 O 0.7200 0.4639 0.9646
63 O 0.7739 0.5372 0.5275
64 O 0.7871 0.9412 0.9988
65 O 0.8089 0.8546 0.6877
66 O 0.8173 0.3544 0.7348
67 O 0.8557 0.2441 0.1118
68 O 0.8759 0.6562 0.8950
69 O 0.8770 0.2335 0.4101
70 O 0.8998 0.7494 0.4490
71 O 0.9314 0.0785 0.5978
72 O 0.9372 0.6781 0.1137
73 O 0.9683 0.5024 0.3036
74 O 0.9744 0.0807 0.8202
75 O 0.9921 0.9183 0.1897